An optimized crystal structure of HoAlAu3, computed with PBE.

Cell lengths 6.558, 4.419, 7.016 Å; angles 90.00, 104.61, 90.00 degrees
Space group P2_1/m (No. 11)
Asymmetric unit:
Ho 0.196 0.250 0.190 x2
Al 0.219 0.750 0.565 x2
Au 0.092 0.250 0.740 x2
Au 0.346 0.750 0.954 x2
Au 0.481 0.250 0.627 x2

Output
total energy: -4.30 eV/atom
calculated volume: 196.7 Å³/cell